1.
DyLu | PBE | optimized geometry

Values from the calculation:
Symmetry = F-43m, No. 216
Theoretical density = 6.089 g/cm3
M_tot = 0.04 μB/f.u.

abc: 5.0678 5.0678 5.0678
angles: 60.00 60.00 60.00
Fractional coordinates of all 2 atoms:
1 Dy 0.0000 0.0000 0.0000
2 Lu 0.7500 0.7500 0.7500

***

2.
DyLu | PBE | optimized geometry

Values from the calculation:
Symmetry = P-6m2, No. 187
Theoretical density = 9.253 g/cm3
M_tot = 0.02 μB/f.u.

abc: 3.5600 3.5600 5.5175
angles: 90.00 90.00 120.00
Fractional coordinates of all 2 atoms:
1 Dy 0.0000 0.0000 0.0000
2 Lu 0.6667 0.3333 0.5000

***

3.
DyLu | PBE | optimized geometry

Values from the calculation:
Symmetry = Fm-3m, No. 225
Theoretical density = 8.472 g/cm3
M_tot = 0.67 μB/f.u.

abc: 4.5395 4.5395 4.5395
angles: 60.00 60.00 60.00
Fractional coordinates of all 2 atoms:
1 Dy 0.0000 0.0000 0.0000
2 Lu 0.5000 0.5000 0.5000

***

Which of them is least stable? Easy: 1.

***

1.
Dy4Lu3Ni2Te2 | PBE | optimized geometry

Values from the calculation:
Symmetry = Imm2, No. 44
Theoretical density = 9.074 g/cm3
M_tot = 0.02 μB/f.u.

abc: 9.2929 9.2929 9.2929
angles: 156.21 67.25 118.14
Fractional coordinates of all 11 atoms:
1 Dy 0.1338 0.0000 0.1338
2 Dy 0.2072 0.8535 0.3537
3 Dy 0.4998 0.8535 0.6463
4 Dy 0.8662 0.0000 0.8662
5 Lu 0.5189 0.2030 0.3159
6 Lu 0.5817 0.5817 0.0000
7 Lu 0.8872 0.2030 0.6841
8 Ni 0.2788 0.5142 0.7646
9 Ni 0.7496 0.5142 0.2354
10 Te 0.2452 0.2452 0.0000
11 Te 0.8443 0.3443 0.5000

***

2.
Dy4Lu3Ni2Te2 | PBE | optimized geometry

Values from the calculation:
Symmetry = Imm2, No. 44
Theoretical density = 9.144 g/cm3
M_tot = 0.01 μB/f.u.

abc: 9.2798 9.2798 9.2798
angles: 156.30 67.23 118.13
Fractional coordinates of all 11 atoms:
1 Dy 0.1332 0.0000 0.1332
2 Dy 0.5175 0.2027 0.3148
3 Dy 0.8668 0.0000 0.8668
4 Dy 0.8879 0.2027 0.6852
5 Lu 0.2085 0.8537 0.3549
6 Lu 0.4988 0.8537 0.6451
7 Lu 0.5794 0.5794 0.0000
8 Ni 0.2740 0.5084 0.7656
9 Ni 0.7427 0.5084 0.2344
10 Te 0.2450 0.2450 0.0000
11 Te 0.8450 0.3450 0.5000

***

Which of them is least stable? Easy: 2.

***

1.
DyTm4Lu2Ni2Te2 | PBE | optimized geometry

Values from the calculation:
Symmetry = Imm2, No. 44
Theoretical density = 9.309 g/cm3
M_tot = 0.02 μB/f.u.

abc: 9.2276 9.2276 9.2276
angles: 156.06 67.16 118.31
Fractional coordinates of all 11 atoms:
1 Dy 0.0000 0.0000 0.0000
2 Tm 0.0823 0.7290 0.3533
3 Tm 0.3758 0.7290 0.6467
4 Tm 0.4472 0.5819 0.8653
5 Tm 0.7166 0.5819 0.1347
6 Lu 0.0617 0.3763 0.6855
7 Lu 0.6908 0.3763 0.3145
8 Ni 0.3049 0.0687 0.2362
9 Ni 0.8325 0.0687 0.7638
10 Te 0.3388 0.3388 0.0000
11 Te 0.7329 0.2329 0.5000

***

2.
DyTm4Lu2Ni2Te2 | PBE | optimized geometry

Values from the calculation:
Symmetry = Imm2, No. 44
Theoretical density = 9.383 g/cm3
M_tot = 0.01 μB/f.u.

abc: 9.2046 9.2046 9.2046
angles: 156.08 67.19 118.27
Fractional coordinates of all 11 atoms:
1 Dy 0.0000 0.0000 0.0000
2 Tm 0.0618 0.3762 0.6856
3 Tm 0.4468 0.5814 0.8654
4 Tm 0.6906 0.3762 0.3144
5 Tm 0.7160 0.5814 0.1346
6 Lu 0.0817 0.7285 0.3532
7 Lu 0.3753 0.7285 0.6468
8 Ni 0.3055 0.0695 0.2360
9 Ni 0.8334 0.0695 0.7640
10 Te 0.3382 0.3382 0.0000
11 Te 0.7325 0.2325 0.5000

***

Which of them is least stable? Easy: 2.

***

1.
Dy4TmLu2Ni2Te2 | PBE | optimized geometry

Values from the calculation:
Symmetry = Imm2, No. 44
Theoretical density = 9.077 g/cm3
M_tot = 0.01 μB/f.u.

abc: 9.2884 9.2884 9.2884
angles: 156.27 67.21 118.16
Fractional coordinates of all 11 atoms:
1 Dy 0.1120 0.7974 0.3146
2 Dy 0.1332 0.0000 0.1332
3 Dy 0.4828 0.7974 0.6854
4 Dy 0.8668 0.0000 0.8668
5 Tm 0.4204 0.4204 0.0000
6 Lu 0.5011 0.1465 0.3546
7 Lu 0.7919 0.1465 0.6454
8 Ni 0.2576 0.4920 0.7656
9 Ni 0.7263 0.4920 0.2344
10 Te 0.1550 0.6550 0.5000
11 Te 0.7549 0.7549 0.0000

***

2.
Dy4TmLu2Ni2Te2 | PBE | optimized geometry

Values from the calculation:
Symmetry = Imm2, No. 44
Theoretical density = 9.097 g/cm3
M_tot = 0.01 μB/f.u.

abc: 9.2855 9.2855 9.2855
angles: 156.25 66.97 118.42
Fractional coordinates of all 11 atoms:
1 Dy 0.1338 0.0000 0.1338
2 Dy 0.5007 0.1470 0.3537
3 Dy 0.7932 0.1470 0.6463
4 Dy 0.8662 0.0000 0.8662
5 Tm 0.4175 0.4175 0.0000
6 Lu 0.1121 0.7964 0.3157
7 Lu 0.4807 0.7964 0.6843
8 Ni 0.2504 0.4859 0.7645
9 Ni 0.7214 0.4859 0.2355
10 Te 0.1551 0.6551 0.5000
11 Te 0.7547 0.7547 0.0000

***

Which of them is least stable? Easy: 1.

***

1.
DyTm2Lu4Ni2Te2 | PBE | optimized geometry

Values from the calculation:
Symmetry = Imm2, No. 44
Theoretical density = 9.492 g/cm3
M_tot = 0.01 μB/f.u.

abc: 9.1921 9.1921 9.1921
angles: 156.07 67.17 118.30
Fractional coordinates of all 11 atoms:
1 Dy 0.0000 0.0000 0.0000
2 Tm 0.0612 0.3756 0.6856
3 Tm 0.6901 0.3756 0.3144
4 Lu 0.0819 0.7290 0.3529
5 Lu 0.3761 0.7290 0.6471
6 Lu 0.4465 0.5813 0.8652
7 Lu 0.7161 0.5813 0.1348
8 Ni 0.3074 0.0705 0.2369
9 Ni 0.8336 0.0705 0.7631
10 Te 0.3396 0.3396 0.0000
11 Te 0.7307 0.2307 0.5000

***

2.
DyTm2Lu4Ni2Te2 | PBE | optimized geometry

Values from the calculation:
Symmetry = Imm2, No. 44
Theoretical density = 9.471 g/cm3
M_tot = 0.02 μB/f.u.

abc: 9.1943 9.1943 9.1943
angles: 156.03 67.19 118.28
Fractional coordinates of all 11 atoms:
1 Dy 0.0000 0.0000 0.0000
2 Tm 0.0825 0.7296 0.3528
3 Tm 0.3768 0.7296 0.6472
4 Lu 0.0618 0.3764 0.6854
5 Lu 0.4470 0.5822 0.8649
6 Lu 0.6910 0.3764 0.3146
7 Lu 0.7173 0.5822 0.1351
8 Ni 0.3060 0.0691 0.2369
9 Ni 0.8321 0.0691 0.7631
10 Te 0.3400 0.3400 0.0000
11 Te 0.7321 0.2321 0.5000

***

Which of them is least stable? Easy: 1.

***

1.
Dy3Tm2Lu2Ni2Te2 | PBE | optimized geometry

Values from the calculation:
Symmetry = Imm2, No. 44
Theoretical density = 9.220 g/cm3
M_tot = 0.01 μB/f.u.

abc: 9.2391 9.2391 9.2391
angles: 156.12 67.10 118.34
Fractional coordinates of all 11 atoms:
1 Dy 0.0000 0.0000 0.0000
2 Dy 0.4470 0.5812 0.8657
3 Dy 0.7155 0.5812 0.1343
4 Tm 0.0620 0.3765 0.6855
5 Tm 0.6910 0.3765 0.3145
6 Lu 0.0816 0.7283 0.3533
7 Lu 0.3750 0.7283 0.6467
8 Ni 0.3045 0.0692 0.2354
9 Ni 0.8338 0.0692 0.7646
10 Te 0.3370 0.3370 0.0000
11 Te 0.7337 0.2337 0.5000

***

2.
Dy3Tm2Lu2Ni2Te2 | PBE | optimized geometry

Values from the calculation:
Symmetry = Imm2, No. 44
Theoretical density = 9.251 g/cm3
M_tot = 0.01 μB/f.u.

abc: 9.2348 9.2348 9.2348
angles: 156.17 67.09 118.33
Fractional coordinates of all 11 atoms:
1 Dy 0.0000 0.0000 0.0000
2 Dy 0.3088 0.6236 0.6852
3 Dy 0.9384 0.6236 0.3148
4 Tm 0.6242 0.2704 0.3538
5 Tm 0.9166 0.2704 0.6462
6 Lu 0.2840 0.4183 0.8657
7 Lu 0.5527 0.4183 0.1343
8 Ni 0.1669 0.9295 0.2375
9 Ni 0.6920 0.9295 0.7625
10 Te 0.2697 0.7697 0.5000
11 Te 0.6597 0.6597 0.0000

***

3.
Dy3Tm2Lu2Ni2Te2 | PBE | optimized geometry

Values from the calculation:
Symmetry = Imm2, No. 44
Theoretical density = 9.176 g/cm3
M_tot = 0.03 μB/f.u.

abc: 9.2569 9.2569 9.2569
angles: 156.16 67.15 118.27
Fractional coordinates of all 11 atoms:
1 Dy 0.0000 0.0000 0.0000
2 Dy 0.4472 0.5812 0.8660
3 Dy 0.7153 0.5812 0.1340
4 Tm 0.0816 0.7287 0.3529
5 Tm 0.3759 0.7287 0.6471
6 Lu 0.0631 0.3778 0.6852
7 Lu 0.6926 0.3778 0.3148
8 Ni 0.3037 0.0691 0.2347
9 Ni 0.8344 0.0691 0.7653
10 Te 0.3356 0.3356 0.0000
11 Te 0.7359 0.2359 0.5000

***

Which of them is least stable? Easy: 2.

***

1.
Dy2Y2TmLu2Ni2Te2 | PBE | optimized geometry

Values from the calculation:
Symmetry = Imm2, No. 44
Theoretical density = 8.165 g/cm3
M_tot = 0.01 μB/f.u.

abc: 9.3067 9.3067 9.3067
angles: 156.22 66.97 118.43
Fractional coordinates of all 11 atoms:
1 Dy 0.1322 0.0000 0.1322
2 Dy 0.8678 0.0000 0.8678
3 Y 0.2043 0.8510 0.3534
4 Y 0.4976 0.8510 0.6466
5 Tm 0.5826 0.5826 0.0000
6 Lu 0.5169 0.2015 0.3154
7 Lu 0.8861 0.2015 0.6846
8 Ni 0.2730 0.5114 0.7616
9 Ni 0.7498 0.5114 0.2384
10 Te 0.2468 0.2468 0.0000
11 Te 0.8454 0.3454 0.5000

***

2.
Dy2Y2TmLu2Ni2Te2 | PBE | optimized geometry

Values from the calculation:
Symmetry = Imm2, No. 44
Theoretical density = 8.121 g/cm3
M_tot = 0.02 μB/f.u.

abc: 9.3252 9.3252 9.3252
angles: 156.33 67.32 118.02
Fractional coordinates of all 11 atoms:
1 Dy 0.1324 0.0000 0.1324
2 Dy 0.8676 0.0000 0.8676
3 Y 0.5165 0.2018 0.3147
4 Y 0.8871 0.2018 0.6853
5 Tm 0.5784 0.5784 0.0000
6 Lu 0.2082 0.8538 0.3545
7 Lu 0.4993 0.8538 0.6455
8 Ni 0.2672 0.5030 0.7642
9 Ni 0.7387 0.5030 0.2358
10 Te 0.2462 0.2462 0.0000
11 Te 0.8427 0.3427 0.5000

***

Which of them is least stable? Easy: 2.

***

1.
DyY2Lu4Ni2Te2 | PBE | optimized geometry

Values from the calculation:
Symmetry = Imm2, No. 44
Theoretical density = 8.434 g/cm3
M_tot = 0.01 μB/f.u.

abc: 9.2289 9.2289 9.2289
angles: 156.14 67.28 118.14
Fractional coordinates of all 11 atoms:
1 Dy 0.0000 0.0000 0.0000
2 Y 0.3089 0.6236 0.6852
3 Y 0.9384 0.6236 0.3148
4 Lu 0.2865 0.4200 0.8665
5 Lu 0.5535 0.4200 0.1335
6 Lu 0.6242 0.2718 0.3524
7 Lu 0.9193 0.2718 0.6476
8 Ni 0.1658 0.9265 0.2393
9 Ni 0.6873 0.9265 0.7607
10 Te 0.2694 0.7694 0.5000
11 Te 0.6635 0.6635 0.0000

***

2.
DyY2Lu4Ni2Te2 | PBE | optimized geometry

Values from the calculation:
Symmetry = Imm2, No. 44
Theoretical density = 8.408 g/cm3
M_tot = 0.03 μB/f.u.

abc: 9.2429 9.2429 9.2429
angles: 156.13 67.09 118.35
Fractional coordinates of all 11 atoms:
1 Dy 0.0000 0.0000 0.0000
2 Y 0.2867 0.4188 0.8679
3 Y 0.5510 0.4188 0.1321
4 Lu 0.3054 0.6197 0.6857
5 Lu 0.6232 0.2715 0.3517
6 Lu 0.9199 0.2715 0.6483
7 Lu 0.9340 0.6197 0.3143
8 Ni 0.1646 0.9287 0.2358
9 Ni 0.6929 0.9287 0.7642
10 Te 0.2632 0.7632 0.5000
11 Te 0.6669 0.6669 0.0000

***

Which of them is least stable? Easy: 1.